Record 1
The following is a DFT calculation (PBE) of an optimized crystal structure of BaOsAu2.

Unit cell a=3.1047 b=3.9262 c=7.2890 alpha=90.00 beta=90.00 gamma=90.00
Space group Pmmm (No. 47)
One atom of each set of equivalent atoms:
Ba: 0.0000 0.0000 0.0000
Os: 0.0000 0.0000 0.5000
Au: 0.5000 0.5000 0.3136

Calculated values
Excess energy over the best structure of this formula in the dataset = 296.9 meV/atom
Spin magnetization = 0.5 μB per cell
Density = 13.48 Mg/m³

Record 2
The following is a DFT calculation (PBE) of an optimized crystal structure of Ba2OsAu.

Unit cell a=11.2203 b=11.2203 c=5.1594 alpha=90.00 beta=90.00 gamma=90.00
Space group I-42d (No. 122)
One atom of each set of equivalent atoms:
Ba: 0.0842 0.2500 0.1250
Os: 0.0000 0.0000 0.0000
Au: 0.0000 0.0000 0.5000

Calculated values
Excess energy over the best structure of this formula in the dataset = 90.7 meV/atom
Spin magnetization = 0.0 μB per cell
Density = 6.77 Mg/m³

Record 3
The following is a DFT calculation (PBE) of an optimized crystal structure of BaOsAu2.

Unit cell a=4.7582 b=4.7582 c=8.1649 alpha=90.00 beta=90.00 gamma=90.00
Space group I4/mmm (No. 139)
One atom of each set of equivalent atoms:
Ba: 0.0000 0.0000 0.0000
Os: 0.0000 0.0000 0.5000
Au: 0.0000 0.5000 0.2500

Calculated values
Excess energy over the best structure of this formula in the dataset = 549.1 meV/atom
Spin magnetization = 3.3 μB per cell
Density = 12.96 Mg/m³

Record 4
The following is a DFT calculation (PBE) of an optimized crystal structure of BaOs3Au.

Unit cell a=5.0291 b=5.0291 c=5.0291 alpha=90.00 beta=90.00 gamma=90.00
Space group Pm-3m (No. 221)
One atom of each set of equivalent atoms:
Ba: 0.0000 0.0000 0.0000
Os: 0.0000 0.5000 0.5000
Au: 0.5000 0.5000 0.5000

Calculated values
Excess energy over the best structure of this formula in the dataset = 0.0 meV/atom
Spin magnetization = 5.9 μB per cell
Density = 11.81 Mg/m³

Record 5
The following is a DFT calculation (PBE) of an optimized crystal structure of Ba2OsAu.

Unit cell a=7.5454 b=7.5454 c=7.5454 alpha=90.00 beta=90.00 gamma=90.00
Space group F-43m (No. 216)
One atom of each set of equivalent atoms:
Ba: 0.0000 0.0000 0.0000
Ba: 0.2500 0.2500 0.2500
Os: 0.2500 0.2500 0.7500
Au: 0.0000 0.0000 0.5000

Calculated values
Excess energy over the best structure of this formula in the dataset = 305.1 meV/atom
Spin magnetization = 3.5 μB per cell
Density = 10.23 Mg/m³

Record 6
The following is a DFT calculation (PBE) of an optimized crystal structure of BaOsAu2.

Unit cell a=5.0666 b=5.0666 c=3.4008 alpha=90.00 beta=90.00 gamma=90.00
Space group P4/mmm (No. 123)
One atom of each set of equivalent atoms:
Ba: 0.0000 0.0000 0.0000
Os: 0.5000 0.5000 0.0000
Au: 0.0000 0.5000 0.5000

Calculated values
Excess energy over the best structure of this formula in the dataset = 432.1 meV/atom
Spin magnetization = 0.0 μB per cell
Density = 13.72 Mg/m³

Record 7
The following is a DFT calculation (PBE) of an optimized crystal structure of Ba2OsAu.

Unit cell a=4.6508 b=4.7011 c=14.2734 alpha=90.00 beta=90.00 gamma=90.00
Space group Imm2 (No. 44)
One atom of each set of equivalent atoms:
Ba: 0.0000 0.0000 0.0000
Ba: 0.0000 0.5000 0.2424
Os: 0.0000 0.5000 0.6438
Au: 0.0000 0.0000 0.5770

Calculated values
Excess energy over the best structure of this formula in the dataset = 0.0 meV/atom
Spin magnetization = 0.0 μB per cell
Density = 7.04 Mg/m³

Record 8
The following is a DFT calculation (PBE) of an optimized crystal structure of BaOsAu2.

Unit cell a=7.1637 b=7.1637 c=7.1637 alpha=90.00 beta=90.00 gamma=90.00
Space group F-43m (No. 216)
One atom of each set of equivalent atoms:
Ba: 0.0000 0.0000 0.0000
Os: 0.2500 0.2500 0.2500
Au: 0.0000 0.0000 0.5000
Au: 0.2500 0.2500 0.7500

Calculated values
Excess energy over the best structure of this formula in the dataset = 681.6 meV/atom
Spin magnetization = 7.8 μB per cell
Density = 13.04 Mg/m³

Record 9
The following is a DFT calculation (PBE) of an optimized crystal structure of BaOs2Au.

Unit cell a=4.1810 b=4.1810 c=9.7787 alpha=90.00 beta=90.00 gamma=90.00
Space group I4/mmm (No. 139)
One atom of each set of equivalent atoms:
Ba: 0.0000 0.0000 0.0000
Os: 0.0000 0.5000 0.2500
Au: 0.0000 0.0000 0.5000

Calculated values
Excess energy over the best structure of this formula in the dataset = 1199.7 meV/atom
Spin magnetization = 6.2 μB per cell
Density = 13.89 Mg/m³

Record 10
The following is a DFT calculation (PBE) of an optimized crystal structure of BaOsAu2.

Unit cell a=6.7933 b=7.7191 c=3.3069 alpha=90.00 beta=90.00 gamma=90.00
Space group Cmmm (No. 65)
One atom of each set of equivalent atoms:
Ba: 0.0000 0.0000 0.0000
Os: 0.0000 0.5000 0.0000
Au: 0.2500 0.2500 0.5000

Calculated values
Excess energy over the best structure of this formula in the dataset = 437.1 meV/atom
Spin magnetization = 0.0 μB per cell
Density = 13.82 Mg/m³

Record 11
The following is a DFT calculation (PBE) of an optimized crystal structure of BaOsAu3.

Unit cell a=5.9984 b=5.9984 c=5.9984 alpha=90.00 beta=90.00 gamma=90.00
Space group Pm-3m (No. 221)
One atom of each set of equivalent atoms:
Ba: 0.0000 0.0000 0.0000
Os: 0.5000 0.5000 0.5000
Au: 0.0000 0.0000 0.5000

Calculated values
Excess energy over the best structure of this formula in the dataset = 1739.5 meV/atom
Spin magnetization = 4.9 μB per cell
Density = 7.07 Mg/m³

Record 12
The following is a DFT calculation (PBE) of an optimized crystal structure of BaOsAu3.

Unit cell a=5.1380 b=5.1380 c=5.1380 alpha=90.00 beta=90.00 gamma=90.00
Space group Pm-3m (No. 221)
One atom of each set of equivalent atoms:
Ba: 0.0000 0.0000 0.0000
Os: 0.5000 0.5000 0.5000
Au: 0.0000 0.5000 0.5000

Calculated values
Excess energy over the best structure of this formula in the dataset = 0.0 meV/atom
Spin magnetization = 0.0 μB per cell
Density = 11.24 Mg/m³